Here is a relaxed structure of Pm2VMoO6 from Alexandria. Energies are from PBE+U.

Summary:
- Total energy: -161.25 eV for the cell shown
- SG: P2_1/c, No. 14
- N(E_F): 0.000 states/eV/atom

abc: 5.514 5.878 7.932
angles: 90.00 90.30 90.00
Last column: magnetic moment on the atom in μB.
Sites, in units of the cell vectors:
Pm 0.019 0.937 0.251  0.01
Pm 0.519 0.563 0.751  0.01
Pm 0.981 0.063 0.749  0.01
Pm 0.481 0.437 0.249  0.01
V 0.500 0.000 0.500  1.93
V 0.000 0.500 0.000  1.93
Mo 0.500 0.000 0.000  2.65
Mo 0.000 0.500 0.500  2.65
O 0.300 0.691 0.055  0.01
O 0.800 0.809 0.555  0.01
O 0.700 0.309 0.945  0.01
O 0.200 0.191 0.445  0.01
O 0.312 0.700 0.437  0.03
O 0.812 0.800 0.937  0.03
O 0.688 0.300 0.563  0.03
O 0.188 0.200 0.063  0.03
O 0.886 0.547 0.242  0.01
O 0.386 0.953 0.742  0.01
O 0.114 0.453 0.758  0.01
O 0.614 0.047 0.258  0.01